Compound: CoCu2PbF8
Source: Alexandria via LeMat-Bulk
Functional: PBE+U
Structure: relaxed

Output
magnetization = 0.417 μB/atom
uncorrected energy = -52.74 eV for the cell shown
Fermi-level density of states = 0.600 states/eV/atom
crystal system = tetragonal

The structure in POSCAR format:
```
CoCu2PbF8
1.0
-3.345 -2.747 -3.191
2.912 -4.453 0.781
-2.861 2.343 5.513
Co Cu Pb F
1 2 1 8
direct
0.000 0.000 0.000 Co
0.500 0.500 0.000 Cu
0.250 0.750 0.500 Cu
0.750 0.250 0.500 Pb
0.757 0.841 0.119 F
0.362 0.277 0.119 F
0.630 0.704 0.669 F
0.039 0.965 0.669 F
0.035 0.370 0.331 F
0.296 0.961 0.331 F
0.159 0.638 0.881 F
0.723 0.243 0.881 F
```